Version one
## KSiW (GGA-PBEsol)

Data for an optimized crystal structure of KSiW.

Cell: 6.4832 6.4832 6.4832 Å, 90.00 90.00 90.00°
Last column: nearest neighbours and their distance in Å.
Sites, in units of the cell vectors:
K 0.0000 0.0000 0.0000  4 Si 2.81
K 0.0000 0.5000 0.5000  4 Si 2.81
K 0.5000 0.0000 0.5000  4 Si 2.81
K 0.5000 0.5000 0.0000  4 Si 2.81
Si 0.2500 0.2500 0.2500  4 W 2.81, 4 K 2.81
Si 0.2500 0.7500 0.7500  4 W 2.81, 4 K 2.81
Si 0.7500 0.2500 0.7500  4 W 2.81, 4 K 2.81
Si 0.7500 0.7500 0.2500  4 W 2.81, 4 K 2.81
W 0.0000 0.0000 0.5000  4 Si 2.81
W 0.0000 0.5000 0.0000  4 Si 2.81
W 0.5000 0.0000 0.0000  4 Si 2.81
W 0.5000 0.5000 0.5000  4 Si 2.81

Output
Space-group type: F-43m
Total magnetization: 2.5 μB/f.u.

Version two
## KSiW (GGA-PBEsol)

Data for an optimized crystal structure of KSiW.

Cell: 2.7647 2.7647 15.0744 Å, 90.00 90.00 90.00°
Last column: nearest neighbours and their distance in Å.
Sites, in units of the cell vectors:
K 0.0000 0.0000 0.0000  4 K 2.76
K 0.5000 0.5000 0.5000  4 K 2.76
Si 0.0000 0.0000 0.6771  4 W 2.67, 4 Si 2.76
Si 0.5000 0.5000 0.1771  4 W 2.67, 4 Si 2.76
W 0.0000 0.0000 0.2976  4 Si 2.67, 4 W 2.76
W 0.5000 0.5000 0.7976  4 Si 2.67, 4 W 2.76

Output
Space-group type: I4mm
Total magnetization: 0.0 μB/f.u.

Which is most stable, and by how much? version two, by 997 meV/atom.